one) VASP calculation (PBE) on crystalline Nd2DySb at its relaxed geometry.

a = 4.616 Å, b = 4.610 Å, c = 11.852 Å
α = 90.00°, β = 101.20°, γ = 90.00°
Sites, in units of the cell vectors:
Nd 0.063 0.250 0.126
Nd 0.432 0.250 0.863
Nd 0.568 0.750 0.137
Nd 0.937 0.750 0.874
Dy 0.306 0.750 0.611
Dy 0.694 0.250 0.389
Sb 0.173 0.750 0.346
Sb 0.827 0.250 0.654



two) VASP calculation (PBE) on crystalline Nd2DySb at its relaxed geometry.

a = 4.246 Å, b = 4.246 Å, c = 6.842 Å
α = 90.00°, β = 90.00°, γ = 90.00°
Sites, in units of the cell vectors:
Nd 0.000 0.000 0.231
Nd 0.000 0.000 0.769
Dy 0.500 0.500 0.500
Sb 0.500 0.500 0.000



three) VASP calculation (PBE) on crystalline Nd2DySb at its relaxed geometry.

a = 4.863 Å, b = 4.863 Å, c = 4.929 Å
α = 90.00°, β = 90.00°, γ = 90.00°
Sites, in units of the cell vectors:
Nd 0.000 0.500 0.000
Nd 0.500 0.000 0.000
Dy 0.000 0.000 0.500
Sb 0.500 0.500 0.500



Stability ranking, top and bottom: one) is the most stable and two) is the least stable.



one) VASP calculation (PBE) on crystalline NdDySb2 at its relaxed geometry.

a = 4.423 Å, b = 4.423 Å, c = 22.672 Å
α = 90.00°, β = 90.00°, γ = 120.00°
Sites, in units of the cell vectors:
Nd 0.000 0.000 0.000
Nd 0.333 0.667 0.667
Nd 0.667 0.333 0.333
Dy 0.000 0.000 0.171
Dy 0.333 0.667 0.838
Dy 0.667 0.333 0.504
Sb 0.000 0.000 0.421
Sb 0.000 0.000 0.584
Sb 0.333 0.667 0.087
Sb 0.333 0.667 0.251
Sb 0.667 0.333 0.754
Sb 0.667 0.333 0.918



two) VASP calculation (PBE) on crystalline NdDySb2 at its relaxed geometry.

a = 4.458 Å, b = 4.458 Å, c = 21.799 Å
α = 90.00°, β = 90.00°, γ = 120.00°
Sites, in units of the cell vectors:
Nd 0.000 0.000 0.000
Nd 0.333 0.667 0.667
Nd 0.667 0.333 0.333
Dy 0.000 0.000 0.500
Dy 0.333 0.667 0.167
Dy 0.667 0.333 0.833
Sb 0.000 0.000 0.247
Sb 0.000 0.000 0.753
Sb 0.333 0.667 0.420
Sb 0.333 0.667 0.914
Sb 0.667 0.333 0.086
Sb 0.667 0.333 0.580



Stability ranking, top and bottom: two) is the most stable and one) is the least stable.



one) VASP calculation (PBE) on crystalline NdDy5Sc2 at its relaxed geometry.

a = 6.946 Å, b = 6.946 Å, c = 9.930 Å
α = 90.00°, β = 90.00°, γ = 90.00°
Sites, in units of the cell vectors:
Nd 0.000 0.000 0.000
Nd 0.500 0.500 0.500
Dy 0.000 0.000 0.499
Dy 0.250 0.250 0.250
Dy 0.250 0.250 0.750
Dy 0.250 0.750 0.250
Dy 0.250 0.750 0.750
Dy 0.500 0.500 0.999
Dy 0.750 0.250 0.250
Dy 0.750 0.250 0.750
Dy 0.750 0.750 0.250
Dy 0.750 0.750 0.750
Sc 0.000 0.500 0.000
Sc 0.000 0.500 0.500
Sc 0.500 0.000 0.000
Sc 0.500 0.000 0.500



two) VASP calculation (PBE) on crystalline NdDy5Sc2 at its relaxed geometry.

a = 11.286 Å, b = 12.121 Å, c = 7.032 Å
α = 90.00°, β = 90.00°, γ = 90.00°
Sites, in units of the cell vectors:
Nd 0.247 0.080 0.000
Nd 0.253 0.580 0.000
Nd 0.747 0.420 0.000
Nd 0.753 0.920 0.000
Dy 0.000 0.247 0.000
Dy 0.000 0.500 0.255
Dy 0.000 0.500 0.745
Dy 0.000 0.753 0.000
Dy 0.001 0.246 0.500
Dy 0.249 0.833 0.255
Dy 0.249 0.833 0.745
Dy 0.251 0.333 0.255
Dy 0.251 0.333 0.745
Dy 0.499 0.746 0.500
Dy 0.500 0.000 0.255
Dy 0.500 0.000 0.745
Dy 0.500 0.253 0.000
Dy 0.500 0.747 0.000
Dy 0.501 0.254 0.500
Dy 0.749 0.667 0.255
Dy 0.749 0.667 0.745
Dy 0.751 0.167 0.255
Dy 0.751 0.167 0.745
Dy 0.999 0.754 0.500
Sc 0.000 0.000 0.258
Sc 0.000 0.000 0.742
Sc 0.246 0.083 0.500
Sc 0.254 0.583 0.500
Sc 0.500 0.500 0.258
Sc 0.500 0.500 0.742
Sc 0.746 0.417 0.500
Sc 0.754 0.917 0.500



Stability ranking, top and bottom: two) is the most stable and one) is the least stable.



one) VASP calculation (PBE) on crystalline NdDy6Sc2 at its relaxed geometry.

a = 7.553 Å, b = 7.553 Å, c = 7.553 Å
α = 57.07°, β = 57.07°, γ = 57.07°
Sites, in units of the cell vectors:
Nd 0.000 0.000 0.000
Dy 0.296 0.729 0.729
Dy 0.462 0.946 0.946
Dy 0.729 0.296 0.729
Dy 0.729 0.729 0.296
Dy 0.946 0.462 0.946
Dy 0.946 0.946 0.462
Sc 0.263 0.263 0.263
Sc 0.439 0.439 0.439



two) VASP calculation (PBE) on crystalline NdDy6Sc2 at its relaxed geometry.

a = 7.193 Å, b = 7.193 Å, c = 11.928 Å
α = 108.72°, β = 108.72°, γ = 86.01°
Sites, in units of the cell vectors:
Nd 0.205 0.795 0.750
Nd 0.795 0.205 0.250
Dy 0.091 0.871 0.104
Dy 0.129 0.909 0.396
Dy 0.193 0.486 0.431
Dy 0.286 0.386 0.145
Dy 0.386 0.286 0.645
Dy 0.486 0.193 0.931
Dy 0.514 0.807 0.069
Dy 0.614 0.714 0.355
Dy 0.714 0.614 0.855
Dy 0.807 0.514 0.569
Dy 0.871 0.091 0.604
Dy 0.909 0.129 0.896
Sc 0.141 0.468 0.859
Sc 0.468 0.141 0.359
Sc 0.532 0.859 0.641
Sc 0.859 0.532 0.141



Stability ranking, top and bottom: two) is the most stable and one) is the least stable.



one) VASP calculation (PBE) on crystalline NdDy4Sc3 at its relaxed geometry.

a = 10.968 Å, b = 7.061 Å, c = 6.077 Å
α = 90.00°, β = 90.00°, γ = 90.00°
Sites, in units of the cell vectors:
Nd 0.000 0.118 0.000
Nd 0.500 0.882 0.500
Dy 0.000 0.370 0.504
Dy 0.000 0.632 0.010
Dy 0.245 0.631 0.665
Dy 0.255 0.369 0.165
Dy 0.500 0.368 0.510
Dy 0.500 0.630 0.004
Dy 0.745 0.369 0.165
Dy 0.755 0.631 0.665
Sc 0.000 0.878 0.499
Sc 0.249 0.120 0.671
Sc 0.251 0.880 0.171
Sc 0.500 0.122 0.999
Sc 0.749 0.880 0.171
Sc 0.751 0.120 0.671



two) VASP calculation (PBE) on crystalline NdDy4Sc3 at its relaxed geometry.

a = 3.327 Å, b = 11.233 Å, c = 12.583 Å
α = 90.00°, β = 90.00°, γ = 90.00°
Sites, in units of the cell vectors:
Nd 0.000 0.000 0.000
Nd 0.500 0.500 0.500
Dy 0.000 0.255 0.133
Dy 0.000 0.255 0.867
Dy 0.000 0.745 0.133
Dy 0.000 0.745 0.867
Dy 0.500 0.245 0.367
Dy 0.500 0.245 0.633
Dy 0.500 0.755 0.367
Dy 0.500 0.755 0.633
Sc 0.000 0.000 0.500
Sc 0.000 0.500 0.259
Sc 0.000 0.500 0.741
Sc 0.500 0.000 0.241
Sc 0.500 0.000 0.759
Sc 0.500 0.500 0.000



Stability ranking, top and bottom: one) is the most stable and two) is the least stable.



one) VASP calculation (PBE) on crystalline Nd2DySc at its relaxed geometry.

a = 5.043 Å, b = 5.043 Å, c = 4.924 Å
α = 90.00°, β = 90.00°, γ = 90.00°
Sites, in units of the cell vectors:
Nd 0.000 0.500 0.000
Nd 0.500 0.000 0.000
Dy 0.000 0.000 0.500
Sc 0.500 0.500 0.500



two) VASP calculation (PBE) on crystalline Nd2DySc at its relaxed geometry.

a = 7.965 Å, b = 7.965 Å, c = 7.965 Å
α = 90.00°, β = 90.00°, γ = 90.00°
Sites, in units of the cell vectors:
Nd 0.250 0.250 0.250
Nd 0.250 0.250 0.750
Nd 0.250 0.750 0.250
Nd 0.250 0.750 0.750
Nd 0.750 0.250 0.250
Nd 0.750 0.250 0.750
Nd 0.750 0.750 0.250
Nd 0.750 0.750 0.750
Dy 0.000 0.000 0.000
Dy 0.000 0.500 0.500
Dy 0.500 0.000 0.500
Dy 0.500 0.500 0.000
Sc 0.000 0.000 0.500
Sc 0.000 0.500 0.000
Sc 0.500 0.000 0.000
Sc 0.500 0.500 0.500



Stability ranking, top and bottom: one) is the most stable and two) is the least stable.



one) VASP calculation (PBE) on crystalline Nd2DySc at its relaxed geometry.

a = 3.468 Å, b = 3.468 Å, c = 36.770 Å
α = 90.00°, β = 90.00°, γ = 120.00°
Sites, in units of the cell vectors:
Nd 0.000 0.000 0.091
Nd 0.000 0.000 0.909
Nd 0.333 0.667 0.576
Nd 0.333 0.667 0.758
Nd 0.667 0.333 0.242
Nd 0.667 0.333 0.424
Dy 0.000 0.000 0.000
Dy 0.333 0.667 0.667
Dy 0.667 0.333 0.333
Sc 0.000 0.000 0.500
Sc 0.333 0.667 0.167
Sc 0.667 0.333 0.833



two) VASP calculation (PBE) on crystalline Nd2DySc at its relaxed geometry.

a = 3.567 Å, b = 3.567 Å, c = 34.264 Å
α = 90.00°, β = 90.00°, γ = 120.00°
Sites, in units of the cell vectors:
Nd 0.000 0.000 0.000
Nd 0.000 0.000 0.172
Nd 0.333 0.667 0.667
Nd 0.333 0.667 0.839
Nd 0.667 0.333 0.333
Nd 0.667 0.333 0.505
Dy 0.000 0.000 0.419
Dy 0.333 0.667 0.085
Dy 0.667 0.333 0.752
Sc 0.000 0.000 0.586
Sc 0.333 0.667 0.253
Sc 0.667 0.333 0.920



three) VASP calculation (PBE) on crystalline Nd2DySc at its relaxed geometry.

a = 3.609 Å, b = 3.609 Å, c = 9.642 Å
α = 90.00°, β = 90.00°, γ = 90.00°
Sites, in units of the cell vectors:
Nd 0.000 0.000 0.238
Nd 0.000 0.000 0.762
Dy 0.500 0.500 0.500
Sc 0.500 0.500 0.000



Stability ranking, top and bottom: three) is the most stable and one) is the least stable.



one) VASP calculation (PBE) on crystalline Nd7Dy2Sc2 at its relaxed geometry.

a = 7.982 Å, b = 7.982 Å, c = 6.114 Å
α = 104.51°, β = 104.51°, γ = 92.89°
Sites, in units of the cell vectors:
Nd 0.000 0.000 0.000
Nd 0.057 0.581 0.809
Nd 0.419 0.943 0.191
Nd 0.423 0.423 0.205
Nd 0.577 0.577 0.795
Nd 0.581 0.057 0.809
Nd 0.943 0.419 0.191
Dy 0.212 0.212 0.583
Dy 0.788 0.788 0.417
Sc 0.223 0.777 0.500
Sc 0.777 0.223 0.500



two) VASP calculation (PBE) on crystalline Nd7Dy2Sc2 at its relaxed geometry.

a = 6.679 Å, b = 6.679 Å, c = 10.081 Å
α = 90.00°, β = 90.00°, γ = 122.17°
Sites, in units of the cell vectors:
Nd 0.000 0.000 0.000
Nd 0.000 0.500 0.318
Nd 0.000 0.500 0.682
Nd 0.500 0.000 0.318
Nd 0.500 0.000 0.682
Nd 0.500 0.500 0.209
Nd 0.500 0.500 0.791
Dy 0.286 0.714 0.000
Dy 0.714 0.286 0.000
Sc 0.253 0.253 0.500
Sc 0.747 0.747 0.500



Stability ranking, top and bottom: one) is the most stable and two) is the least stable.



one) VASP calculation (PBE) on crystalline Nd3Dy2Sc2 at its relaxed geometry.

a = 3.504 Å, b = 8.426 Å, c = 8.573 Å
α = 62.32°, β = 89.96°, γ = 78.03°
Sites, in units of the cell vectors:
Nd 0.000 0.000 0.000
Nd 0.297 0.409 0.708
Nd 0.703 0.591 0.292
Dy 0.368 0.264 0.182
Dy 0.632 0.736 0.818
Sc 0.069 0.860 0.434
Sc 0.931 0.140 0.566



two) VASP calculation (PBE) on crystalline Nd3Dy2Sc2 at its relaxed geometry.

a = 17.180 Å, b = 3.448 Å, c = 8.378 Å
α = 90.00°, β = 118.21°, γ = 90.00°
Sites, in units of the cell vectors:
Nd 0.000 0.000 0.000
Nd 0.214 0.000 0.301
Nd 0.286 0.500 0.699
Nd 0.500 0.500 0.000
Nd 0.714 0.500 0.301
Nd 0.786 0.000 0.699
Dy 0.137 0.000 0.809
Dy 0.363 0.500 0.191
Dy 0.637 0.500 0.809
Dy 0.863 0.000 0.191
Sc 0.064 0.500 0.410
Sc 0.436 0.000 0.590
Sc 0.564 0.000 0.410
Sc 0.936 0.500 0.590



Stability ranking, top and bottom: one) is the most stable and two) is the least stable.



one) VASP calculation (PBE) on crystalline Nd12DySc6 at its relaxed geometry.

a = 9.253 Å, b = 9.253 Å, c = 9.253 Å
α = 109.47°, β = 109.47°, γ = 109.47°
Sites, in units of the cell vectors:
Nd 0.070 0.801 0.269
Nd 0.199 0.269 0.468
Nd 0.199 0.731 0.930
Nd 0.269 0.070 0.801
Nd 0.269 0.468 0.199
Nd 0.468 0.199 0.269
Nd 0.532 0.801 0.731
Nd 0.731 0.532 0.801
Nd 0.731 0.930 0.199
Nd 0.801 0.269 0.070
Nd 0.801 0.731 0.532
Nd 0.930 0.199 0.731
Dy 0.000 0.000 0.000
Sc 0.138 0.638 0.500
Sc 0.362 0.500 0.862
Sc 0.500 0.138 0.638
Sc 0.500 0.862 0.362
Sc 0.638 0.500 0.138
Sc 0.862 0.362 0.500



two) VASP calculation (PBE) on crystalline Nd12DySc6 at its relaxed geometry.

a = 9.055 Å, b = 9.055 Å, c = 9.055 Å
α = 106.72°, β = 106.72°, γ = 106.72°
Sites, in units of the cell vectors:
Nd 0.134 0.279 0.829
Nd 0.171 0.866 0.721
Nd 0.197 0.477 0.570
Nd 0.279 0.829 0.134
Nd 0.430 0.803 0.523
Nd 0.477 0.570 0.197
Nd 0.523 0.430 0.803
Nd 0.570 0.197 0.477
Nd 0.721 0.171 0.866
Nd 0.803 0.523 0.430
Nd 0.829 0.134 0.279
Nd 0.866 0.721 0.171
Dy 0.000 0.000 0.000
Sc 0.071 0.463 0.186
Sc 0.186 0.071 0.463
Sc 0.463 0.186 0.071
Sc 0.537 0.814 0.929
Sc 0.814 0.929 0.537
Sc 0.929 0.537 0.814



Stability ranking, top and bottom: one) is the most stable and two) is the least stable.